1.
Below is crystalline La6Sb3TeP2 at its relaxed geometry, with properties calculated at the PBE level.

Cell lengths 10.051, 10.051, 9.041 Å; angles 102.84, 102.84, 25.82 degrees
Fractional positions:
La (0.009, 0.009, 0.260)
La (0.328, 0.328, 0.428)
La (0.329, 0.329, 0.898)
La (0.671, 0.671, 0.102)
La (0.672, 0.672, 0.572)
La (0.991, 0.991, 0.740)
Sb (0.162, 0.162, 0.833)
Sb (0.500, 0.500, 0.500)
Sb (0.838, 0.838, 0.167)
Te (0.500, 0.500, 0.000)
P (0.168, 0.168, 0.335)
P (0.832, 0.832, 0.665)

Output
The calculation puts the formation energy (no corrections) at -1431 meV/atom. As for the total magnetic moment: 0.0 Bohr magnetons per cell. Its volume is 32.3 Å³/atom. For the total energy, the calculation gives -6.089 eV/atom.

2.
Below is crystalline La8Sb3Te4P at its relaxed geometry, with properties calculated at the PBE level.

Cell lengths 9.155, 9.155, 9.155 Å; angles 59.73, 59.73, 59.73 degrees
Fractional positions:
La (0.248, 0.248, 0.248)
La (0.259, 0.736, 0.736)
La (0.264, 0.264, 0.741)
La (0.264, 0.741, 0.264)
La (0.736, 0.259, 0.736)
La (0.736, 0.736, 0.259)
La (0.741, 0.264, 0.264)
La (0.752, 0.752, 0.752)
Sb (0.000, 0.000, 0.500)
Sb (0.000, 0.500, 0.000)
Sb (0.500, 0.000, 0.000)
Te (0.000, 0.000, 0.000)
Te (0.000, 0.500, 0.500)
Te (0.500, 0.000, 0.500)
Te (0.500, 0.500, 0.000)
P (0.500, 0.500, 0.500)

Output
The calculation puts the formation energy (no corrections) at -1507 meV/atom. As for the total magnetic moment: 0.0 Bohr magnetons per cell. Its volume is 33.7 Å³/atom. For the total energy, the calculation gives -5.868 eV/atom.

3.
Below is crystalline La8SbTe4P3 at its relaxed geometry, with properties calculated at the PBE level.

Cell lengths 9.047, 9.047, 9.047 Å; angles 58.65, 58.65, 58.65 degrees
Fractional positions:
La (0.227, 0.748, 0.748)
La (0.238, 0.238, 0.238)
La (0.252, 0.252, 0.773)
La (0.252, 0.773, 0.252)
La (0.748, 0.227, 0.748)
La (0.748, 0.748, 0.227)
La (0.762, 0.762, 0.762)
La (0.773, 0.252, 0.252)
Sb (0.500, 0.500, 0.500)
Te (0.000, 0.000, 0.000)
Te (0.000, 0.500, 0.500)
Te (0.500, 0.000, 0.500)
Te (0.500, 0.500, 0.000)
P (0.000, 0.000, 0.500)
P (0.000, 0.500, 0.000)
P (0.500, 0.000, 0.000)

Output
The calculation puts the formation energy (no corrections) at -1600 meV/atom. As for the total magnetic moment: 0.0 Bohr magnetons per cell. Its volume is 31.7 Å³/atom. For the total energy, the calculation gives -6.122 eV/atom.